A plane-wave DFT calculation with meta-GGA SCAN was carried out for TaTiRe2Tc at its PBEsol-relaxed geometry.

Lattice parameters (Å, degrees): 4.4943 4.6638 4.6638 90.00 90.00 90.00
Last column: magnetic moment on the atom in μB.
Sites, in units of the cell vectors:
Ta (0.0000, 0.0000, 0.0000)  -0.01
Re (0.0000, 0.0000, 0.5000)  -0.28
Ti (0.5000, 0.0000, 0.0000)  -0.07
Re (0.0000, 0.5000, 0.0000)  -0.28
Tc (0.5000, 0.5000, 0.5000)  3.03

Values from the calculation:
Its crystal system is tetragonal. Its formation energy is 2.030 eV/atom. The value obtained for the density of states at the Fermi level is 3.983 states/eV/cell.

***

A plane-wave DFT calculation with meta-GGA SCAN was carried out for YTaReTc2 at its PBEsol-relaxed geometry.

Lattice parameters (Å, degrees): 4.6281 4.6281 4.9420 90.00 90.00 90.00
Last column: magnetic moment on the atom in μB.
Sites, in units of the cell vectors:
Tc (0.5000, 0.0000, 0.0000)  -0.35
Re (0.0000, 0.0000, 0.0000)  0.04
Ta (0.5000, 0.5000, 0.5000)  1.02
Y (0.0000, 0.0000, 0.5000)  0.17
Tc (0.0000, 0.5000, 0.0000)  -0.35

Values from the calculation:
Its crystal system is tetragonal. Its formation energy is 1.484 eV/atom. The value obtained for the density of states at the Fermi level is 4.643 states/eV/cell.

***

A plane-wave DFT calculation with meta-GGA SCAN was carried out for TaReTe2 at its PBEsol-relaxed geometry.

Lattice parameters (Å, degrees): 3.1921 3.1921 8.7560 79.50 79.50 60.00
Sites, in units of the cell vectors:
Te (0.7533, 0.7533, 0.7401)
Te (0.2467, 0.2467, 0.2599)
Re (0.5000, 0.5000, 0.5000)
Ta (0.0000, 0.0000, 0.0000)

Values from the calculation:
The calculation puts the offset from the most stable computed form at 0.397 eV/atom. Its crystal system is trigonal. The value obtained for the density of states at the Fermi level is 2.356 states/eV/cell.

***

A plane-wave DFT calculation with meta-GGA SCAN was carried out for TaReTe2 at its PBEsol-relaxed geometry.

Lattice parameters (Å, degrees): 3.3706 4.7357 6.6863 99.12 90.00 110.85
Sites, in units of the cell vectors:
Te (0.2339, 0.4677, 0.6505)
Ta (0.7632, 0.5264, 0.3176)
Te (0.0183, 0.0366, 0.1051)
Re (0.4846, 0.9693, 0.4268)

Values from the calculation:
The calculation puts the offset from the most stable computed form at 0.000 eV/atom. Its crystal system is monoclinic. The value obtained for the density of states at the Fermi level is 0.766 states/eV/cell.

***

A plane-wave DFT calculation with meta-GGA SCAN was carried out for TaTlRe2 at its PBEsol-relaxed geometry.

Lattice parameters (Å, degrees): 4.5540 4.5540 4.5540 60.00 60.00 60.00
Sites, in units of the cell vectors:
Ta (0.0000, 0.0000, 0.0000)
Tl (0.5000, 0.5000, 0.5000)
Re (0.7500, 0.7500, 0.7500)
Re (0.2500, 0.2500, 0.2500)

Values from the calculation:
The calculation puts the offset from the most stable computed form at 0.034 eV/atom. Its crystal system is cubic. Its formation energy is 0.539 eV/atom. The value obtained for the density of states at the Fermi level is 2.354 states/eV/cell.

***

A plane-wave DFT calculation with meta-GGA SCAN was carried out for TaTlRe2 at its PBEsol-relaxed geometry.

Lattice parameters (Å, degrees): 3.0371 4.9168 4.9248 103.21 90.00 107.99
Sites, in units of the cell vectors:
Re (0.2654, 0.5308, 0.2789)
Re (0.7346, 0.4692, 0.7211)
Tl (0.5000, 0.0000, 0.0000)
Ta (0.0000, 0.0000, 0.5000)

Values from the calculation:
The calculation puts the offset from the most stable computed form at 0.000 eV/atom. Its crystal system is monoclinic. Its formation energy is 0.505 eV/atom. The value obtained for the density of states at the Fermi level is 2.613 states/eV/cell.

***

A plane-wave DFT calculation with meta-GGA SCAN was carried out for TaTlRe2 at its PBEsol-relaxed geometry.

Lattice parameters (Å, degrees): 4.5601 4.5601 4.5601 60.00 60.00 60.00
Sites, in units of the cell vectors:
Re (0.7500, 0.7500, 0.7500)
Ta (0.5000, 0.5000, 0.5000)
Tl (0.2500, 0.2500, 0.2500)
Re (0.0000, 0.0000, 0.0000)

Values from the calculation:
The calculation puts the offset from the most stable computed form at 0.251 eV/atom. Its crystal system is cubic. Its formation energy is 0.756 eV/atom. The value obtained for the density of states at the Fermi level is 3.628 states/eV/cell.

***

A plane-wave DFT calculation with meta-GGA SCAN was carried out for TaTlRe at its PBEsol-relaxed geometry.

Lattice parameters (Å, degrees): 4.4216 4.4216 4.4216 60.00 60.00 60.00
Sites, in units of the cell vectors:
Re (0.0000, 0.0000, 0.0000)
Tl (0.2500, 0.2500, 0.2500)
Ta (0.5000, 0.5000, 0.5000)

Values from the calculation:
Its crystal system is cubic. Its formation energy is 1.588 eV/atom. The value obtained for the density of states at the Fermi level is 2.861 states/eV/cell.

***

A plane-wave DFT calculation with meta-GGA SCAN was carried out for TaRe2W at its PBEsol-relaxed geometry.

Lattice parameters (Å, degrees): 2.8041 2.8041 9.3544 81.38 81.38 60.00
Sites, in units of the cell vectors:
Re (0.7471, 0.7471, 0.7587)
Re (0.2529, 0.2529, 0.2413)
Ta (0.5000, 0.5000, 0.5000)
W (0.0000, 0.0000, 0.0000)

Values from the calculation:
The calculation puts the offset from the most stable computed form at 0.464 eV/atom. Its crystal system is trigonal. Its formation energy is 0.207 eV/atom. The value obtained for the density of states at the Fermi level is 2.843 states/eV/cell.

***

A plane-wave DFT calculation with meta-GGA SCAN was carried out for TaRe2W at its PBEsol-relaxed geometry.

Lattice parameters (Å, degrees): 4.4440 4.4440 4.4440 60.00 60.00 60.00
Sites, in units of the cell vectors:
Re (0.2500, 0.2500, 0.2500)
Ta (0.0000, 0.0000, 0.0000)
W (0.5000, 0.5000, 0.5000)
Re (0.7500, 0.7500, 0.7500)

Values from the calculation:
The calculation puts the offset from the most stable computed form at 0.008 eV/atom. Its crystal system is cubic. Its formation energy is -0.249 eV/atom. The value obtained for the density of states at the Fermi level is 1.771 states/eV/cell.

***

A plane-wave DFT calculation with meta-GGA SCAN was carried out for TaRe2W at its PBEsol-relaxed geometry.

Lattice parameters (Å, degrees): 3.1493 4.4388 4.4388 90.00 90.00 90.00
Sites, in units of the cell vectors:
Ta (0.5000, 0.5000, 0.5000)
Re (0.0000, 0.0000, 0.5000)
W (0.5000, 0.0000, 0.0000)
Re (0.0000, 0.5000, 0.0000)

Values from the calculation:
The calculation puts the offset from the most stable computed form at 0.000 eV/atom. Its crystal system is tetragonal. Its formation energy is -0.257 eV/atom. The value obtained for the density of states at the Fermi level is 1.998 states/eV/cell.

***

A plane-wave DFT calculation with meta-GGA SCAN was carried out for YTa2Re at its PBEsol-relaxed geometry.

Lattice parameters (Å, degrees): 3.2152 4.8647 5.6378 115.56 106.57 90.00
Sites, in units of the cell vectors:
Re (0.0000, 0.5000, 0.0000)
Ta (0.2767, 0.2767, 0.5535)
Ta (0.7233, 0.7233, 0.4465)
Y (0.5000, 0.0000, 0.0000)

Values from the calculation:
The calculation puts the offset from the most stable computed form at 0.000 eV/atom. Its crystal system is orthorhombic. Its formation energy is 0.097 eV/atom. The value obtained for the density of states at the Fermi level is 3.358 states/eV/cell.

***

It is found that the total magnetic moment values, taken in the order of the records, are 2.450; 1.043; 0.000; 0.000; 0.000; 0.000; 0.000; 0.000; 0.000; 0.000; 0.000; 0.000 μB/cell.